Record 1
Here is CsScTl after structural relaxation from Alexandria. Energies are from PBE.

Properties
Relative energy among the computed polymorphs ... 0.1891 eV per atom
E_form ... 0.141 eV/atom
Crystal system ... monoclinic
Magnetic moment ... 0.00 μB/f.u.
N(E_F) ... 0.720 states/eV per atom

a b c (Å): 3.5897 4.6863 14.0772
angles (deg): 90.00 89.96 90.00
Atoms (fractional coordinates):
Cs: 0.8915 0.0000 0.8965
Cs: 0.8915 0.5000 0.3965
Sc: 0.8952 0.0000 0.6348
Sc: 0.8952 0.5000 0.1348
Tl: 0.3951 0.0000 0.1667
Tl: 0.3951 0.5000 0.6667

***

Record 2
Here is ZrPRuS2 after structural relaxation from Alexandria. Energies are from PBE.

Properties
Relative energy among the computed polymorphs ... 0.0000 eV per atom
Crystal system ... tetragonal
Magnetic moment ... 0.14 μB/f.u.
Formation energy from raw total energies ... 71 kJ/mol of formula units
N(E_F) ... 0.873 states/eV per atom

a b c (Å): 4.6655 4.6655 4.4013
angles (deg): 90.00 90.00 90.00
Each line ends with the local moment (μB).
Atoms (fractional coordinates):
Ru: 0.0000 0.0000 0.0000  0.04
S: 0.0000 0.5000 0.0000  0.00
S: 0.5000 0.0000 0.0000  0.00
Zr: 0.5000 0.5000 0.5000  0.08
P: 0.0000 0.0000 0.5000  0.00

***

Record 3
Here is Ac2TbSnPt6 after structural relaxation from Alexandria. Energies are from PBE.

Properties
E_form ... -0.294 eV/atom
Crystal system ... cubic
Magnetic moment ... 0.00 μB/f.u.
N(E_F) ... 0.530 states/eV per atom

a b c (Å): 7.2100 7.2100 7.2100
angles (deg): 60.00 60.00 90.00
Atoms (fractional coordinates):
Ac: 0.2500 0.7500 0.5000
Ac: 0.7500 0.2500 0.5000
Tb: 0.5000 0.5000 0.0000
Sn: 0.0000 0.0000 0.0000
Pt: 0.2463 0.7537 0.0000
Pt: 0.7537 0.7537 0.0000
Pt: 0.2463 0.2463 0.5074
Pt: 0.7537 0.2463 0.0000
Pt: 0.2463 0.2463 0.0000
Pt: 0.7537 0.7537 0.4926

***

Record 4
Here is Ga5Ni4Rh after structural relaxation from Alexandria. Energies are from PBE.

Properties
E_form ... -0.421 eV/atom
Crystal system ... tetragonal
Magnetic moment ... 0.00 μB/f.u.
N(E_F) ... 0.508 states/eV per atom

a b c (Å): 2.9474 2.9474 14.6847
angles (deg): 90.00 90.00 90.00
Atoms (fractional coordinates):
Ga: 0.5000 0.5000 0.1090
Ga: 0.5000 0.5000 0.3046
Ga: 0.5000 0.5000 0.5000
Ga: 0.5000 0.5000 0.6954
Ga: 0.5000 0.5000 0.8910
Ni: 0.0000 0.0000 0.2061
Ni: 0.0000 0.0000 0.4023
Ni: 0.0000 0.0000 0.5977
Ni: 0.0000 0.0000 0.7939
Rh: 0.0000 0.0000 0.0000

***

Record 5
Here is Cu2SbMo after structural relaxation from Alexandria. Energies are from PBE.

Properties
Crystal system ... orthorhombic
Magnetic moment ... 0.00 μB/f.u.
Formation energy from raw total energies ... 95 kJ/mol of formula units
N(E_F) ... 1.422 states/eV per atom

a b c (Å): 5.0237 5.0237 5.0237
angles (deg): 135.12 135.55 65.01
Atoms (fractional coordinates):
Cu: 0.0032 0.0032 0.0000
Cu: 0.7477 0.2477 0.5000
Mo: 0.4987 0.4987 0.0000
Sb: 0.2504 0.7504 0.5000

***

Record 6
Here is Rb2Li2Pd after structural relaxation from Alexandria. Energies are from PBE.

Properties
E_form ... 0.115 eV/atom
Crystal system ... tetragonal
Magnetic moment ... 0.00 μB/f.u.
N(E_F) ... 0.298 states/eV per atom

a b c (Å): 7.3551 7.3551 5.9799
angles (deg): 90.00 90.00 90.00
Atoms (fractional coordinates):
Rb: 0.1917 0.6917 0.5000
Rb: 0.6917 0.8083 0.5000
Rb: 0.8083 0.3083 0.5000
Rb: 0.3083 0.1917 0.5000
Pd: 0.0000 0.0000 0.0000
Pd: 0.5000 0.5000 0.0000
Li: 0.3292 0.8292 0.0000
Li: 0.8292 0.6708 0.0000
Li: 0.6708 0.1708 0.0000
Li: 0.1708 0.3292 0.0000

***

Record 7
Here is NaMg4In8 after structural relaxation from Alexandria. Energies are from PBE.

Properties
E_form ... 0.041 eV/atom
Crystal system ... cubic
Magnetic moment ... 0.00 μB/f.u.
N(E_F) ... 0.566 states/eV per atom

a b c (Å): 7.0628 7.0628 7.0628
angles (deg): 89.96 89.96 89.96
Atoms (fractional coordinates):
Na: 0.0000 0.0000 0.0000
Mg: 0.5000 0.5000 0.5000
Mg: 0.5000 0.5000 0.0000
Mg: 0.0000 0.5000 0.5000
Mg: 0.5000 0.0000 0.5000
In: 0.7545 0.2461 0.2461
In: 0.2461 0.2461 0.7545
In: 0.2461 0.7545 0.2461
In: 0.2458 0.2458 0.2458
In: 0.7542 0.7542 0.7542
In: 0.7539 0.7539 0.2455
In: 0.7539 0.2455 0.7539
In: 0.2455 0.7539 0.7539

***

Record 8
Here is Sr3Mg7Ag2 after structural relaxation from Alexandria. Energies are from PBE.

Properties
E_form ... -0.147 eV/atom
Crystal system ... trigonal
Magnetic moment ... 0.00 μB/f.u.
N(E_F) ... 0.763 states/eV per atom

a b c (Å): 6.3015 6.3015 10.4295
angles (deg): 72.42 72.42 60.00
Atoms (fractional coordinates):
Sr: 0.0000 0.0000 0.0000
Sr: 0.8560 0.8560 0.4320
Sr: 0.1440 0.1440 0.5680
Mg: 0.5000 0.5000 0.5000
Mg: 0.9253 0.4230 0.2287
Mg: 0.4230 0.9253 0.2287
Mg: 0.4230 0.4230 0.2287
Mg: 0.0747 0.5770 0.7713
Mg: 0.5770 0.5770 0.7713
Mg: 0.5770 0.0747 0.7713
Ag: 0.6663 0.6663 0.0012
Ag: 0.3337 0.3337 0.9988

***

Record 9
Here is Sr2CuAg2 after structural relaxation from Alexandria. Energies are from PBE.

Properties
Relative energy among the computed polymorphs ... 0.2160 eV per atom
E_form ... -0.006 eV/atom
Crystal system ... tetragonal
Magnetic moment ... 0.00 μB/f.u.
N(E_F) ... 0.505 states/eV per atom

a b c (Å): 6.1579 6.1579 5.8865
angles (deg): 58.46 58.46 90.00
Atoms (fractional coordinates):
Sr: 0.7500 0.2500 0.5000
Sr: 0.2500 0.7500 0.5000
Cu: 0.0000 0.0000 0.0000
Ag: 0.3304 0.3304 0.3391
Ag: 0.6696 0.6696 0.6609

***

Record 10
Here is Mg4CdPb2 after structural relaxation from Alexandria. Energies are from PBE.

Properties
Relative energy among the computed polymorphs ... 0.2282 eV per atom
E_form ... 0.222 eV/atom
Crystal system ... tetragonal
Magnetic moment ... 0.00 μB/f.u.
N(E_F) ... 0.431 states/eV per atom

a b c (Å): 5.2235 5.2235 8.4608
angles (deg): 107.98 107.98 90.00
Atoms (fractional coordinates):
Mg: 0.8179 0.8179 0.6357
Mg: 0.1821 0.1821 0.3643
Mg: 0.0000 0.5000 0.0000
Mg: 0.5000 0.0000 0.0000
Cd: 0.0000 0.0000 0.0000
Pb: 0.6251 0.6251 0.2501
Pb: 0.3749 0.3749 0.7499

***

Record 11
Here is TiFeNiP after structural relaxation from Alexandria. Energies are from PBE.

Properties
Relative energy among the computed polymorphs ... 0.1836 eV per atom
E_form ... -0.424 eV/atom
Crystal system ... orthorhombic
Magnetic moment ... 0.00 μB/f.u.
N(E_F) ... 0.694 states/eV per atom

a b c (Å): 2.7185 3.2339 5.8475
angles (deg): 90.00 103.42 90.00
Atoms (fractional coordinates):
Ti: 0.7626 0.5000 0.4840
Fe: 0.4941 0.5000 0.9463
Ni: 0.1318 0.0000 0.2232
P: 0.9266 0.0000 0.8102

***

Record 12
Here is Sr2ZnTePd after structural relaxation from Alexandria. Energies are from PBE.

Properties
Crystal system ... tetragonal
Magnetic moment ... 0.00 μB/f.u.
Formation energy from raw total energies ... -357 kJ/mol of formula units
N(E_F) ... 0.396 states/eV per atom

a b c (Å): 5.8046 5.8046 4.8211
angles (deg): 90.00 90.00 90.00
Atoms (fractional coordinates):
Sr: 0.0000 0.5000 0.0000
Sr: 0.5000 0.0000 0.0000
Zn: 0.0000 0.0000 0.5000
Te: 0.5000 0.5000 0.5000
Pd: 0.0000 0.0000 0.0000

***

What did the third record say?
Here is Ac2TbSnPt6 after structural relaxation from Alexandria. Energies are from PBE.

Properties
E_form ... -0.294 eV/atom
Crystal system ... cubic
Magnetic moment ... 0.00 μB/f.u.
N(E_F) ... 0.530 states/eV per atom

a b c (Å): 7.2100 7.2100 7.2100
angles (deg): 60.00 60.00 90.00
Atoms (fractional coordinates):
Ac: 0.2500 0.7500 0.5000
Ac: 0.7500 0.2500 0.5000
Tb: 0.5000 0.5000 0.0000
Sn: 0.0000 0.0000 0.0000
Pt: 0.2463 0.7537 0.0000
Pt: 0.7537 0.7537 0.0000
Pt: 0.2463 0.2463 0.5074
Pt: 0.7537 0.2463 0.0000
Pt: 0.2463 0.2463 0.0000
Pt: 0.7537 0.7537 0.4926

***

> Which of these has the highest magnetic moment?

ZrPRuS2

***

What did the seventh record say?
Here is NaMg4In8 after structural relaxation from Alexandria. Energies are from PBE.

Properties
E_form ... 0.041 eV/atom
Crystal system ... cubic
Magnetic moment ... 0.00 μB/f.u.
N(E_F) ... 0.566 states/eV per atom

a b c (Å): 7.0628 7.0628 7.0628
angles (deg): 89.96 89.96 89.96
Atoms (fractional coordinates):
Na: 0.0000 0.0000 0.0000
Mg: 0.5000 0.5000 0.5000
Mg: 0.5000 0.5000 0.0000
Mg: 0.0000 0.5000 0.5000
Mg: 0.5000 0.0000 0.5000
In: 0.7545 0.2461 0.2461
In: 0.2461 0.2461 0.7545
In: 0.2461 0.7545 0.2461
In: 0.2458 0.2458 0.2458
In: 0.7542 0.7542 0.7542
In: 0.7539 0.7539 0.2455
In: 0.7539 0.2455 0.7539
In: 0.2455 0.7539 0.7539